## P
# SiSb2IBr | Alexandria via LeMat-Bulk | GGA-PBE | relaxed
# Calculated volume = 155.8 Å³/cell
data_SiSb2IBr
_cell_length_a 5.3485
_cell_length_b 5.3485
_cell_length_c 5.4479
_cell_angle_alpha 90.00
_cell_angle_beta 90.00
_cell_angle_gamma 90.00
_space_group_name_H-M_alt 'P 4/m m m'
_space_group_IT_number 123
_space_group_name_Hall '-P 4 2'
loop_
_atom_site_label
_atom_site_type_symbol
_atom_site_fract_x
_atom_site_fract_y
_atom_site_fract_z
Si1 Si 0.0000 0.0000 0.0000
Sb1 Sb 0.0000 0.5000 0.0000
I1 I 0.0000 0.0000 0.5000
Br1 Br 0.5000 0.5000 0.5000

---

## Q
# SiSb2IBr | Alexandria via LeMat-Bulk | GGA-PBE | relaxed
# Calculated volume = 176.4 Å³/cell
data_SiSb2IBr
_cell_length_a 5.6184
_cell_length_b 5.6184
_cell_length_c 5.5895
_cell_angle_alpha 90.00
_cell_angle_beta 90.00
_cell_angle_gamma 90.00
_space_group_name_H-M_alt 'P 4/m m m'
_space_group_IT_number 123
_space_group_name_Hall '-P 4 2'
loop_
_atom_site_label
_atom_site_type_symbol
_atom_site_fract_x
_atom_site_fract_y
_atom_site_fract_z
Si1 Si 0.0000 0.0000 0.0000
Sb1 Sb 0.0000 0.5000 0.5000
I1 I 0.5000 0.5000 0.0000
Br1 Br 0.5000 0.5000 0.5000

---

Energies, relative to the best one, in meV/atom: P 0; Q 743.